1.
VASP calculation (PBE) on crystalline RbFe3Cl at its relaxed geometry.

Values from the calculation:
The value obtained for the formation energy (no corrections) is 12.6 eV/f.u. For the total energy, the calculation gives -3.12 eV/atom. Its energy above the most stable polymorph in this dataset is 6.45 eV per formula unit.

abc: 4.953 4.953 4.953
angles: 90.00 90.00 90.00
Space group Pm-3m (No. 221)
One atom of each set of equivalent atoms:
1 Rb 0.000 0.000 0.000 x1
2 Fe 0.000 0.000 0.500 x3
3 Cl 0.500 0.500 0.500 x1

---

2.
VASP calculation (PBE) on crystalline Zn5Cu at its relaxed geometry.

Values from the calculation:
The formation energy is -0.033 eV/atom. For the total energy, the calculation gives -1.78 eV/atom.

abc: 12.825 2.791 4.743
angles: 90.00 90.00 90.00
Space group Pmma (No. 51)
One atom of each set of equivalent atoms:
1 Zn 0.084 0.000 0.165 x4
2 Zn 0.087 0.500 0.670 x4
3 Zn 0.250 0.500 0.329 x2
4 Cu 0.250 0.000 0.832 x2

---

3.
VASP calculation (PBE) on crystalline Ag4Hg3Br12 at its relaxed geometry.

Values from the calculation:
The value obtained for the formation energy (no corrections) is -5.5 eV/f.u. For the total energy, the calculation gives -1.99 eV/atom.

abc: 10.525 10.525 10.525
angles: 90.00 90.00 90.00
Space group Im-3 (No. 204)
One atom of each set of equivalent atoms:
1 Ag 0.250 0.250 0.250 x8
2 Hg 0.000 0.000 0.500 x6
3 Br 0.000 0.184 0.313 x24

---

4.
VASP calculation (PBE) on crystalline YMg6Zr at its relaxed geometry.

Values from the calculation:
The formation energy is -0.019 eV/atom. For the total energy, the calculation gives -3.09 eV/atom. Its energy above the most stable polymorph in this dataset is 0.00 eV per formula unit.

abc: 4.827 4.827 8.146
angles: 90.00 90.00 90.00
Space group P4/mmm (No. 123)
One atom of each set of equivalent atoms:
1 Y 0.000 0.000 0.000 x1
2 Mg 0.000 0.500 0.263 x4
3 Mg 0.500 0.500 0.000 x1
4 Mg 0.500 0.500 0.500 x1
5 Zr 0.000 0.000 0.500 x1

---

5.
VASP calculation (PBE) on crystalline RePRh at its relaxed geometry.

Values from the calculation:
The formation energy is -0.119 eV/atom. For the total energy, the calculation gives -8.52 eV/atom. Its energy above the most stable polymorph in this dataset is 0.20 eV per formula unit.

abc: 2.8451 2.8451 5.9301
angles: 90.00 90.00 120.00
Space group P3m1 (No. 156)
One atom of each set of equivalent atoms:
1 Re 0.0000 0.0000 0.0000 x1
2 P 0.3333 0.6667 0.6988 x1
3 Rh 0.6667 0.3333 0.3848 x1

---

6.
VASP calculation (PBE) on crystalline MgBI2 at its relaxed geometry.

Values from the calculation:
The value obtained for the formation energy (no corrections) is 2.9 eV/f.u. For the total energy, the calculation gives -2.12 eV/atom. Its energy above the most stable polymorph in this dataset is 0.00 eV per formula unit.

abc: 5.692 5.692 16.152
angles: 90.00 90.00 90.00
Space group I-42d (No. 122)
One atom of each set of equivalent atoms:
1 Mg 0.000 0.000 0.000 x4
2 B 0.000 0.000 0.500 x4
3 I 0.235 0.250 0.625 x8

---

7.
VASP calculation (PBE) on crystalline CaTh3N4 at its relaxed geometry.

Values from the calculation:
The value obtained for the formation energy (no corrections) is -11.9 eV/f.u. For the total energy, the calculation gives -8.68 eV/atom.

abc: 5.134 5.134 5.134
angles: 90.00 90.00 90.00
Space group Pm-3m (No. 221)
One atom of each set of equivalent atoms:
1 Ca 0.000 0.000 0.000 x1
2 Th 0.000 0.500 0.500 x3
3 N 0.000 0.000 0.500 x3
4 N 0.500 0.500 0.500 x1

---

8.
VASP calculation (PBE) on crystalline SmDy3F at its relaxed geometry.

Values from the calculation:
The value obtained for the formation energy (no corrections) is -4.6 eV/f.u. For the total energy, the calculation gives -5.00 eV/atom.

abc: 5.057 5.057 5.057
angles: 90.00 90.00 90.00
Space group Pm-3m (No. 221)
One atom of each set of equivalent atoms:
1 Sm 0.000 0.000 0.000 x1
2 Dy 0.000 0.500 0.500 x3
3 F 0.500 0.500 0.500 x1